Here is an optimized crystal structure of LaWO2F from Alexandria. Energies are from PBE+U.

As for the total energy: -30.52 eV per cell. For the density of states at the Fermi level, the calculation gives 2.8 states/eV per cell.

a b c (Å): 4.6859 4.6859 4.5068
angles (deg): 90.00 90.00 90.00
Space group P4/mmm (No. 123)
Inequivalent atoms, fractional coordinates:
La: 0.0000 0.0000 0.0000 [1 per cell]
W: 0.5000 0.5000 0.5000 [1 per cell]
O: 0.0000 0.5000 0.0000 [2 per cell]
F: 0.0000 0.0000 0.5000 [1 per cell]